1.
# KTeMoAuSe2 PBE optimized geometry
# VASP energy (eV/atom): -4.5527
# Density (kg/m3): 6207
# Volume (Å³/f.u.): 165
# Crystal system: orthorhombic
data_KTeMoAuSe2
_chemical_formula_sum 'K2 Te2 Mo2 Au2 Se4'
_space_group_name_H-M_alt 'P 1'
_space_group_IT_number 1
_space_group_name_Hall 'P 1'
_cell_length_a 8.210
_cell_length_b 8.210
_cell_length_c 10.587
_cell_angle_alpha 90.00
_cell_angle_beta 90.00
_cell_angle_gamma 152.42
loop_
_atom_site_label
_atom_site_fract_x
_atom_site_fract_y
_atom_site_fract_z
Se1 0.111 0.889 0.472
Te1 0.576 0.424 0.750
Te2 0.424 0.576 0.250
Mo1 0.500 0.500 0.500
Se2 0.111 0.889 0.028
Au1 0.055 0.945 0.250
K1 0.732 0.268 0.250
K2 0.268 0.732 0.750
Se3 0.889 0.111 0.972
Au2 0.945 0.055 0.750
Mo2 0.500 0.500 0.000
Se4 0.889 0.111 0.528

2.
# Re2O5 PBE optimized geometry
# VASP energy (eV/atom): -8.0620
# Density (kg/m3): 10134
# Excess energy over the best structure of this formula in the dataset (meV/atom): 477
# Volume (Å³/f.u.): 74
# Crystal system: monoclinic
data_Re2O5
_chemical_formula_sum 'Re2 O5'
_space_group_name_H-M_alt 'P 1'
_space_group_IT_number 1
_space_group_name_Hall 'P 1'
_cell_length_a 3.660
_cell_length_b 3.660
_cell_length_c 6.140
_cell_angle_alpha 108.23
_cell_angle_beta 108.23
_cell_angle_gamma 82.08
loop_
_atom_site_label
_atom_site_fract_x
_atom_site_fract_y
_atom_site_fract_z
O1 0.305 0.716 0.303
O2 0.284 0.695 0.697
Re1 0.826 0.742 0.777
O3 0.693 0.015 0.086
O4 0.985 0.307 0.914
Re2 0.258 0.174 0.223
O5 0.737 0.263 0.500